1.
CsKF2: relaxed, PBE.

The calculation puts the polymorph energy (0 for the lowest one) at 121 meV per atom. Its crystal system is tetragonal. The value obtained for the total magnetization is 0.12 Bohr magnetons per cell. As for the volume: 85.7 Å³/cell. Its uncorrected formation energy is -2.546 eV/atom.

Structure (CIF):
```
data_CsKF2
_chemical_formula_sum 'Cs1 K1 F2'
_cell_length_a 3.5108
_cell_length_b 3.5108
_cell_length_c 6.9498
_cell_angle_alpha 90.00
_cell_angle_beta 90.00
_cell_angle_gamma 90.00
_symmetry_space_group_name_H-M 'P 4/m m m'
_symmetry_Int_Tables_number 123
_symmetry_space_group_name_Hall '-P 4 2'
loop_
_atom_site_label
_atom_site_type_symbol
_atom_site_fract_x
_atom_site_fract_y
_atom_site_fract_z
Cs1 Cs 0.0000 0.0000 0.0000
K1 K 0.0000 0.0000 0.5000
F1 F 0.5000 0.5000 0.2692
```

2.
Tl2InRu: relaxed, PBE.

The calculation puts the polymorph energy (0 for the lowest one) at 343 meV per atom. Its crystal system is tetragonal. The formation energy is 2.1 eV/f.u. The value obtained for the total magnetization is 0.00 Bohr magnetons per cell. As for the volume: 172.7 Å³/cell.

Structure (CIF):
```
data_Tl2InRu
_chemical_formula_sum 'Tl4 In2 Ru2'
_cell_length_a 4.3795
_cell_length_b 4.3795
_cell_length_c 9.0063
_cell_angle_alpha 90.00
_cell_angle_beta 90.00
_cell_angle_gamma 90.00
_symmetry_space_group_name_H-M 'I 4/m m m'
_symmetry_Int_Tables_number 139
_symmetry_space_group_name_Hall '-I 4 2'
loop_
_atom_site_label
_atom_site_type_symbol
_atom_site_fract_x
_atom_site_fract_y
_atom_site_fract_z
Tl1 Tl 0.0000 0.5000 0.2500
In1 In 0.0000 0.0000 0.0000
Ru1 Ru 0.0000 0.0000 0.5000
```

3.
LiZrTc2: relaxed, PBE.

The calculation puts the polymorph energy (0 for the lowest one) at 57 meV per atom. Its crystal system is tetragonal. The formation energy is 0.5 eV/f.u. The value obtained for the total magnetization is 0.00 Bohr magnetons per cell. As for the volume: 63.3 Å³/cell.

Structure (CIF):
```
data_LiZrTc2
_chemical_formula_sum 'Li1 Zr1 Tc2'
_cell_length_a 3.1819
_cell_length_b 3.1819
_cell_length_c 6.2528
_cell_angle_alpha 90.00
_cell_angle_beta 90.00
_cell_angle_gamma 90.00
_symmetry_space_group_name_H-M 'P 4 m m'
_symmetry_Int_Tables_number 99
_symmetry_space_group_name_Hall 'P 4 -2'
loop_
_atom_site_label
_atom_site_type_symbol
_atom_site_fract_x
_atom_site_fract_y
_atom_site_fract_z
Li1 Li 0.0000 0.0000 0.0000
Zr1 Zr 0.5000 0.5000 0.7215
Tc1 Tc 0.0000 0.0000 0.4357
Tc2 Tc 0.5000 0.5000 0.2144
```

4.
ErCuTc: relaxed, PBE.

Its crystal system is orthorhombic. The formation energy is 0.2 eV/f.u. The value obtained for the total magnetization is 0.00 Bohr magnetons per cell. As for the volume: 910.4 Å³/cell.

Structure (CIF):
```
data_ErCuTc
_chemical_formula_sum 'Er16 Cu16 Tc16'
_cell_length_a 4.7775
_cell_length_b 10.6522
_cell_length_c 17.8895
_cell_angle_alpha 90.00
_cell_angle_beta 90.00
_cell_angle_gamma 90.00
_symmetry_space_group_name_H-M 'F m m m'
_symmetry_Int_Tables_number 69
_symmetry_space_group_name_Hall '-F 2 2'
loop_
_atom_site_label
_atom_site_type_symbol
_atom_site_fract_x
_atom_site_fract_y
_atom_site_fract_z
Er1 Er 0.0000 0.1488 0.1174
Cu1 Cu 0.0000 0.1305 0.2806
Tc1 Tc 0.0000 0.0000 0.4085
Tc2 Tc 0.0000 0.1733 0.5000
```